Material: AsSeCl3F6
Method: DFT, PBE
State: optimized geometry

**Calculated total energy**: -3.749 eV per atom
**Crystal system**: monoclinic
**Formation energy without anion corrections**: -1.49 eV per atom
**Total moment**: 0.06 Bohr magnetons per cell

Cell lengths 7.882, 9.793, 12.079 Å; angles 90.00, 97.90, 90.00 degrees
Atoms (fractional coordinates):
Cl: 0.597 0.161 0.397
F: 0.019 0.771 0.001
F: 0.111 0.198 0.199
Se: 0.812 0.175 0.306
F: 0.752 0.655 0.043
Cl: 0.217 0.885 0.244
F: 0.381 0.315 0.158
Cl: 0.217 0.615 0.744
F: 0.733 0.889 0.956
F: 0.889 0.802 0.801
F: 0.111 0.302 0.699
As: 0.815 0.770 0.422
F: 0.619 0.685 0.842
Cl: 0.403 0.661 0.103
As: 0.185 0.270 0.078
Cl: 0.403 0.839 0.603
F: 0.248 0.345 0.957
Cl: 0.597 0.339 0.897
F: 0.619 0.815 0.342
F: 0.019 0.729 0.501
F: 0.267 0.389 0.544
Cl: 0.288 0.928 0.845
Cl: 0.783 0.115 0.756
F: 0.904 0.931 0.387
F: 0.381 0.185 0.658
Cl: 0.712 0.428 0.655
Se: 0.188 0.825 0.694
Cl: 0.712 0.072 0.155
F: 0.981 0.271 0.499
F: 0.733 0.611 0.456
Cl: 0.783 0.385 0.256
Cl: 0.288 0.572 0.345
F: 0.752 0.845 0.543
F: 0.904 0.569 0.887
F: 0.889 0.698 0.301
Se: 0.812 0.325 0.806
F: 0.096 0.069 0.613
F: 0.248 0.155 0.457
As: 0.815 0.730 0.922
As: 0.185 0.230 0.578
Se: 0.188 0.675 0.194
F: 0.096 0.431 0.113
F: 0.981 0.229 0.999
F: 0.267 0.111 0.044